DFT (PBE) results for an optimized crystal structure of BiPd.

a = 5.707 Å, b = 10.833 Å, c = 5.760 Å
α = 90.00°, β = 100.66°, γ = 90.00°
Element x y z (fractional)
Bi  0.116  0.140  0.408
Bi  0.116  0.360  0.908
Bi  0.353  0.644  0.647
Bi  0.353  0.856  0.147
Bi  0.647  0.144  0.853
Bi  0.647  0.356  0.353
Bi  0.884  0.640  0.092
Bi  0.884  0.860  0.592
Pd  0.166  0.089  0.927
Pd  0.166  0.411  0.427
Pd  0.403  0.583  0.161
Pd  0.403  0.917  0.661
Pd  0.597  0.083  0.339
Pd  0.597  0.417  0.839
Pd  0.834  0.589  0.573
Pd  0.834  0.911  0.073

Results
Total DFT energy (no corrections) (eV/cell): -77.473
Energy relative to the elements (meV per atom): -305
DOS(E_F) (states/eV/cell): 6.86
SG: No. 14

***

DFT (PBE) results for an optimized crystal structure of BiPd.

a = 3.564 Å, b = 4.374 Å, c = 6.215 Å
α = 90.00°, β = 90.00°, γ = 90.00°
Element x y z (fractional)
Bi  0.250  0.250  0.182
Bi  0.750  0.750  0.818
Pd  0.250  0.750  0.470
Pd  0.750  0.250  0.530

Results
Total DFT energy (no corrections) (eV/cell): -18.714
Energy relative to the elements (meV per atom): -142
DOS(E_F) (states/eV/cell): 2.09
SG: No. 59

***

DFT (PBE) results for an optimized crystal structure of Bi2Pd3.

a = 7.201 Å, b = 7.201 Å, c = 7.201 Å
α = 124.47°, β = 73.90°, γ = 135.35°
Element x y z (fractional)
Bi  0.156  0.244  0.401
Bi  0.344  0.744  0.088
Bi  0.656  0.256  0.912
Bi  0.844  0.756  0.599
Pd  0.096  0.643  0.739
Pd  0.250  0.250  0.000
Pd  0.404  0.143  0.547
Pd  0.596  0.857  0.453
Pd  0.750  0.750  0.000
Pd  0.904  0.357  0.261

Results
Total DFT energy (no corrections) (eV/cell): -49.437
ΔE to the lowest computed polymorph (kJ/mol of atoms): 0.0
Energy relative to the elements (meV per atom): -276
DOS(E_F) (states/eV/cell): 4.67
SG: No. 72

***

DFT (PBE) results for an optimized crystal structure of BiPd2.

a = 3.622 Å, b = 3.622 Å, c = 5.053 Å
α = 110.84°, β = 110.84°, γ = 89.95°
Element x y z (fractional)
Bi  0.000  0.000  0.000
Pd  0.331  0.331  0.661
Pd  0.669  0.669  0.339

Results
Total DFT energy (no corrections) (eV/cell): -15.040
Energy relative to the elements (meV per atom): -258
DOS(E_F) (states/eV/cell): 1.09
SG: No. 12

***

DFT (PBE) results for an optimized crystal structure of Bi4Pd.

a = 7.368 Å, b = 7.368 Å, c = 7.368 Å
α = 103.39°, β = 103.39°, γ = 122.48°
Element x y z (fractional)
Bi  0.228  0.282  0.555
Bi  0.228  0.673  0.945
Bi  0.282  0.228  0.055
Bi  0.327  0.772  0.555
Bi  0.673  0.228  0.445
Bi  0.718  0.772  0.945
Bi  0.772  0.327  0.055
Bi  0.772  0.718  0.445
Pd  0.125  0.875  0.250
Pd  0.875  0.125  0.750

Results
Total DFT energy (no corrections) (eV/cell): -41.772
ΔE to the lowest computed polymorph (kJ/mol of atoms): 3.4
Energy relative to the elements (meV per atom): -34
DOS(E_F) (states/eV/cell): 5.77
SG: No. 141

***

DFT (PBE) results for an optimized crystal structure of BiPd.

a = 5.035 Å, b = 5.035 Å, c = 6.583 Å
α = 123.46°, β = 123.46°, γ = 43.43°
Element x y z (fractional)
Bi  0.052  0.052  0.293
Bi  0.948  0.948  0.707
Pd  0.308  0.308  0.886
Pd  0.692  0.692  0.114

Results
Total DFT energy (no corrections) (eV/cell): -19.148
Energy relative to the elements (meV per atom): -250
DOS(E_F) (states/eV/cell): 1.53
SG: No. 12

***

DFT (PBE) results for an optimized crystal structure of Bi3Pd5.

a = 4.251 Å, b = 4.251 Å, c = 11.169 Å
α = 90.00°, β = 90.00°, γ = 120.00°
Element x y z (fractional)
Bi  0.000  0.000  0.000
Bi  0.333  0.667  0.275
Bi  0.333  0.667  0.725
Pd  0.000  0.000  0.500
Pd  0.667  0.333  0.129
Pd  0.667  0.333  0.382
Pd  0.667  0.333  0.618
Pd  0.667  0.333  0.871

Results
Total DFT energy (no corrections) (eV/cell): -39.076
ΔE to the lowest computed polymorph (kJ/mol of atoms): 6.7
Energy relative to the elements (meV per atom): -184
DOS(E_F) (states/eV/cell): 6.08
SG: No. 187

***

DFT (PBE) results for an optimized crystal structure of BiPd.

a = 7.641 Å, b = 7.641 Å, c = 7.641 Å
α = 90.00°, β = 90.00°, γ = 90.00°
Element x y z (fractional)
Bi  0.000  0.250  0.500
Bi  0.000  0.750  0.500
Bi  0.250  0.500  0.000
Bi  0.500  0.000  0.250
Bi  0.500  0.000  0.750
Bi  0.750  0.500  0.000
Pd  0.000  0.500  0.250
Pd  0.000  0.500  0.750
Pd  0.250  0.000  0.500
Pd  0.500  0.250  0.000
Pd  0.500  0.750  0.000
Pd  0.750  0.000  0.500

Results
Total DFT energy (no corrections) (eV/cell): -51.870
Energy relative to the elements (meV per atom): 214
DOS(E_F) (states/eV/cell): 13.32
SG: No. 223

***

DFT (PBE) results for an optimized crystal structure of BiPd.

a = 7.169 Å, b = 7.169 Å, c = 7.169 Å
α = 109.47°, β = 109.47°, γ = 109.47°
Element x y z (fractional)
Bi  0.000  0.000  0.382
Bi  0.000  0.382  0.000
Bi  0.382  0.000  0.000
Bi  0.618  0.618  0.618
Pd  0.000  0.000  0.748
Pd  0.000  0.748  0.000
Pd  0.252  0.252  0.252
Pd  0.748  0.000  0.000

Results
Total DFT energy (no corrections) (eV/cell): -35.604
Energy relative to the elements (meV per atom): 86
DOS(E_F) (states/eV/cell): 5.00
SG: No. 217

***

DFT (PBE) results for an optimized crystal structure of BiPd.

a = 8.973 Å, b = 8.973 Å, c = 4.314 Å
α = 90.00°, β = 90.00°, γ = 120.00°
Element x y z (fractional)
Bi  0.185  0.791  0.250
Bi  0.209  0.394  0.250
Bi  0.394  0.185  0.750
Bi  0.606  0.815  0.250
Bi  0.791  0.606  0.750
Bi  0.815  0.209  0.750
Pd  0.123  0.540  0.750
Pd  0.417  0.877  0.750
Pd  0.460  0.583  0.750
Pd  0.540  0.417  0.250
Pd  0.583  0.123  0.250
Pd  0.877  0.460  0.250

Results
Total DFT energy (no corrections) (eV/cell): -57.096
Energy relative to the elements (meV per atom): -221
DOS(E_F) (states/eV/cell): 4.95
SG: No. 176

***

DFT (PBE) results for an optimized crystal structure of BiPd.

a = 8.790 Å, b = 8.790 Å, c = 8.790 Å
α = 91.91°, β = 91.91°, γ = 158.95°
Element x y z (fractional)
Bi  0.069  0.749  0.818
Bi  0.251  0.069  0.320
Bi  0.749  0.931  0.680
Bi  0.931  0.251  0.182
Pd  0.151  0.271  0.422
Pd  0.271  0.849  0.120
Pd  0.729  0.151  0.880
Pd  0.849  0.729  0.578

Results
Total DFT energy (no corrections) (eV/cell): -36.131
Energy relative to the elements (meV per atom): 20
DOS(E_F) (states/eV/cell): 4.27
SG: No. 87

***

DFT (PBE) results for an optimized crystal structure of BiPd.

a = 8.506 Å, b = 8.061 Å, c = 5.269 Å
α = 76.10°, β = 66.93°, γ = 36.97°
Element x y z (fractional)
Bi  0.078  0.672  0.078
Bi  0.328  0.922  0.328
Bi  0.672  0.078  0.672
Bi  0.922  0.328  0.922
Pd  0.281  0.281  0.469
Pd  0.469  0.469  0.281
Pd  0.531  0.531  0.719
Pd  0.719  0.719  0.531

Results
Total DFT energy (no corrections) (eV/cell): -36.748
Energy relative to the elements (meV per atom): -57
DOS(E_F) (states/eV/cell): 5.77
SG: No. 70

***

DFT (PBE) results for an optimized crystal structure of BiPd2.

a = 6.923 Å, b = 6.923 Å, c = 4.191 Å
α = 90.00°, β = 90.00°, γ = 145.22°
Element x y z (fractional)
Bi  0.104  0.896  0.750
Bi  0.896  0.104  0.250
Pd  0.248  0.752  0.250
Pd  0.420  0.580  0.750
Pd  0.580  0.420  0.250
Pd  0.752  0.248  0.750

Results
Total DFT energy (no corrections) (eV/cell): -30.057
Energy relative to the elements (meV per atom): -254
DOS(E_F) (states/eV/cell): 3.56
SG: No. 63

***

DFT (PBE) results for an optimized crystal structure of Bi2Pd3.

a = 6.609 Å, b = 6.609 Å, c = 6.609 Å
α = 64.46°, β = 64.46°, γ = 64.46°
Element x y z (fractional)
Bi  0.106  0.106  0.106
Bi  0.394  0.394  0.394
Bi  0.606  0.606  0.606
Bi  0.894  0.894  0.894
Pd  0.012  0.250  0.488
Pd  0.250  0.488  0.012
Pd  0.488  0.012  0.250
Pd  0.512  0.988  0.750
Pd  0.750  0.512  0.988
Pd  0.988  0.750  0.512

Results
Total DFT energy (no corrections) (eV/cell): -48.020
ΔE to the lowest computed polymorph (kJ/mol of atoms): 13.7
Energy relative to the elements (meV per atom): -134
DOS(E_F) (states/eV/cell): 4.35
SG: No. 167

***

DFT (PBE) results for an optimized crystal structure of Bi3Pd7.

a = 7.986 Å, b = 7.986 Å, c = 5.900 Å
α = 106.29°, β = 106.29°, γ = 31.13°
Element x y z (fractional)
Bi  0.000  0.000  0.000
Bi  0.194  0.194  0.649
Bi  0.806  0.806  0.351
Pd  0.000  0.000  0.500
Pd  0.197  0.197  0.129
Pd  0.399  0.399  0.671
Pd  0.404  0.404  0.180
Pd  0.596  0.596  0.820
Pd  0.601  0.601  0.329
Pd  0.803  0.803  0.871

Results
Total DFT energy (no corrections) (eV/cell): -50.244
Energy relative to the elements (meV per atom): -225
DOS(E_F) (states/eV/cell): 6.53
SG: No. 12

***

DFT (PBE) results for an optimized crystal structure of BiPd.

a = 4.810 Å, b = 4.810 Å, c = 5.581 Å
α = 90.00°, β = 90.00°, γ = 120.00°
Element x y z (fractional)
Bi  0.333  0.667  0.250
Bi  0.667  0.333  0.750
Pd  0.333  0.667  0.750
Pd  0.667  0.333  0.250

Results
Total DFT energy (no corrections) (eV/cell): -18.355
Energy relative to the elements (meV per atom): -52
DOS(E_F) (states/eV/cell): 1.65
SG: No. 194

***

DFT (PBE) results for an optimized crystal structure of BiPd.

a = 3.637 Å, b = 4.502 Å, c = 5.655 Å
α = 90.00°, β = 108.58°, γ = 90.00°
Element x y z (fractional)
Bi  0.141  0.250  0.283
Bi  0.859  0.750  0.717
Pd  0.416  0.250  0.832
Pd  0.584  0.750  0.168

Results
Total DFT energy (no corrections) (eV/cell): -19.337
Energy relative to the elements (meV per atom): -297
DOS(E_F) (states/eV/cell): 2.19
SG: No. 11

***

DFT (PBE) results for an optimized crystal structure of PmBiPd4.

a = 5.487 Å, b = 5.487 Å, c = 5.487 Å
α = 60.00°, β = 60.00°, γ = 60.00°
Element x y z (fractional)
Pm  0.000  0.000  0.000
Bi  0.750  0.750  0.750
Pd  0.375  0.375  0.375
Pd  0.375  0.375  0.876
Pd  0.375  0.876  0.375
Pd  0.876  0.375  0.375

Results
Total DFT energy (no corrections) (eV/cell): -32.612
ΔE to the lowest computed polymorph (kJ/mol of atoms): 0.0
Energy relative to the elements (meV per atom): -535
DOS(E_F) (states/eV/cell): 6.56
SG: No. 216

***

DFT (PBE) results for an optimized crystal structure of PmBiPd4.

a = 7.848 Å, b = 4.250 Å, c = 7.340 Å
α = 90.00°, β = 90.00°, γ = 90.00°
Element x y z (fractional)
Pm  0.250  0.000  0.183
Pm  0.750  0.000  0.817
Bi  0.250  0.000  0.757
Bi  0.750  0.000  0.243
Pd  0.000  0.000  0.500
Pd  0.019  0.500  0.800
Pd  0.250  0.500  0.465
Pd  0.481  0.500  0.800
Pd  0.500  0.000  0.500
Pd  0.519  0.500  0.200
Pd  0.750  0.500  0.535
Pd  0.981  0.500  0.200

Results
Total DFT energy (no corrections) (eV/cell): -64.265
ΔE to the lowest computed polymorph (kJ/mol of atoms): 7.7
Energy relative to the elements (meV per atom): -455
DOS(E_F) (states/eV/cell): 6.28
SG: No. 51

***

DFT (PBE) results for an optimized crystal structure of PmBiPd.

a = 4.715 Å, b = 4.715 Å, c = 3.973 Å
α = 90.00°, β = 90.00°, γ = 120.00°
Element x y z (fractional)
Pm  0.000  0.000  0.000
Bi  0.333  0.667  0.475
Pd  0.667  0.333  0.555

Results
Total DFT energy (no corrections) (eV/cell): -16.146
ΔE to the lowest computed polymorph (kJ/mol of atoms): 16.8
Energy relative to the elements (meV per atom): -774
DOS(E_F) (states/eV/cell): 2.06
SG: No. 156